! PBE LaDy5Tm2Sc, relaxed; values from VASP
! Density of states at the Fermi level = 30.9 states/eV per cell
! Calculated formation energy = 0.18 eV per atom
! Symmetry = No. 36
&SYSTEM
  ibrav = 0, nat = 18, ntyp = 4
/
ATOMIC_SPECIES
Dy 162.50 Dy.upf
Sc 44.96 Sc.upf
Tm 168.93 Tm.upf
La 138.91 La.upf
CELL_PARAMETERS angstrom
5.5685 0.0000 0.0000
-2.7842 9.8503 0.0000
0.0000 0.0000 10.3230
ATOMIC_POSITIONS crystal
Dy 0.6232 0.2464 0.5213
Sc 0.1960 0.3919 0.0143
Dy 0.3768 0.7536 0.0213
Dy 0.2973 0.5945 0.7069
Tm 0.1140 0.2280 0.7344
Dy 0.9822 0.9644 0.5213
Sc 0.8040 0.6081 0.5143
Dy 0.7235 0.4471 0.8227
Dy 0.7027 0.4055 0.2069
Dy 0.0178 0.0356 0.0213
Tm 0.8884 0.7769 0.8144
Tm 0.1116 0.2231 0.3144
La 0.5855 0.1709 0.9503
Tm 0.8860 0.7720 0.2344
Dy 0.5192 0.0383 0.2384
Dy 0.2765 0.5529 0.3227
Dy 0.4808 0.9617 0.7384
La 0.4145 0.8291 0.4503



! PBE Y3GaB, relaxed; values from VASP
! Density of states at the Fermi level = 6.8 states/eV per cell
! Calculated formation energy = -0.23 eV per atom
! Symmetry = No. 221
&SYSTEM
  ibrav = 0, nat = 5, ntyp = 3
/
ATOMIC_SPECIES
Y 88.91 Y.upf
B 10.81 B.upf
Ga 69.72 Ga.upf
CELL_PARAMETERS angstrom
-4.2027 0.9345 -2.5231
-0.7269 -4.8999 -0.6039
-2.5905 -0.1410 4.2628
ATOMIC_POSITIONS crystal
Y 0.0000 0.0000 0.5000
B 0.0000 0.0000 0.0000
Y 0.5000 0.0000 0.0000
Ga 0.5000 0.5000 0.5000
Y 0.0000 0.5000 0.0000



! PBE BaAgTe2Br, relaxed; values from VASP
! Formation energy (no corrections) = -0.319 eV/atom
! Density of states at the Fermi level = 1.1 states/eV per cell
! Symmetry = No. 123
&SYSTEM
  ibrav = 0, nat = 5, ntyp = 4
/
ATOMIC_SPECIES
Ag 107.87 Ag.upf
Te 127.60 Te.upf
Br 79.90 Br.upf
Ba 137.33 Ba.upf
CELL_PARAMETERS angstrom
6.1057 0.0000 0.0000
0.0000 4.9797 0.0000
0.0000 0.0000 6.1057
ATOMIC_POSITIONS crystal
Ag 0.0000 0.5000 0.0000
Te 0.0000 0.0000 0.5000
Br 0.0000 0.0000 0.0000
Ba 0.5000 0.5000 0.5000
Te 0.5000 0.0000 0.0000



! PBE BiNF, relaxed; values from VASP
! Formation energy (no corrections) = -0.674 eV/atom
! Density of states at the Fermi level = 1.6 states/eV per cell
! Symmetry = No. 1
&SYSTEM
  ibrav = 0, nat = 6, ntyp = 3
/
ATOMIC_SPECIES
N 14.01 N.upf
Bi 208.98 Bi.upf
F 19.00 F.upf
CELL_PARAMETERS angstrom
-3.2326 2.8252 3.6267
-0.9200 0.4840 4.3836
5.8412 4.1963 10.0308
ATOMIC_POSITIONS crystal
N 0.0285 0.0472 0.9095
Bi 0.7146 0.1286 0.5940
F 0.5602 0.0250 0.4725
N 0.0296 0.3152 0.9096
F 0.4518 0.0028 0.2879
Bi 0.2726 0.9618 0.1477



! PBE K3TbTm2S6, relaxed; values from VASP
! Formation energy (no corrections) = -1.888 eV/atom
! Density of states at the Fermi level = 0.0 states/eV per cell
! Symmetry = No. 12
&SYSTEM
  ibrav = 0, nat = 12, ntyp = 4
/
ATOMIC_SPECIES
S 32.06 S.upf
Tm 168.93 Tm.upf
K 39.10 K.upf
Tb 158.93 Tb.upf
CELL_PARAMETERS angstrom
6.9676 -0.0009 0.0003
-3.4829 6.0347 0.0003
-1.1618 -2.0117 7.3626
ATOMIC_POSITIONS crystal
S 0.9332 0.5956 0.7997
S 0.0668 0.4044 0.2003
S 0.4044 0.0668 0.2003
S 0.2709 0.2709 0.7997
Tm 0.3333 0.6667 0.0000
K 0.5000 0.5000 0.5000
Tb 0.0000 0.0000 0.0000
K 0.1662 0.8338 0.5000
S 0.5956 0.9332 0.7997
K 0.8338 0.1662 0.5000
Tm 0.6667 0.3333 0.0000
S 0.7291 0.7291 0.2003



! PBE MoPdW2, relaxed; values from VASP
! Density of states at the Fermi level = 7.6 states/eV per cell
! Calculated formation energy = 0.90 eV per atom
! Symmetry = No. 122
&SYSTEM
  ibrav = 0, nat = 8, ntyp = 3
/
ATOMIC_SPECIES
Mo 95.94 Mo.upf
W 183.84 W.upf
Pd 106.42 Pd.upf
CELL_PARAMETERS angstrom
7.1317 0.0000 0.0000
0.0000 7.1317 0.0000
3.5658 3.5658 2.7158
ATOMIC_POSITIONS crystal
Mo 0.2500 0.7500 0.5000
W 0.3750 0.3807 0.7500
Pd 0.7500 0.2500 0.5000
W 0.1307 0.6250 0.2500
W 0.8750 0.8693 0.7500
Mo 0.5000 0.5000 0.0000
Pd 0.0000 0.0000 0.0000
W 0.6193 0.1250 0.2500



! PBE HoTm2In9, relaxed; values from VASP
! Density of states at the Fermi level = 4.8 states/eV per cell
! Calculated formation energy = -0.38 eV per atom
! Symmetry = No. 123
&SYSTEM
  ibrav = 0, nat = 12, ntyp = 3
/
ATOMIC_SPECIES
In 114.82 In.upf
Tm 168.93 Tm.upf
Ho 164.93 Ho.upf
CELL_PARAMETERS angstrom
-1.6418 3.8443 1.9652
0.0860 -2.0730 4.1269
12.9482 4.5097 1.9954
ATOMIC_POSITIONS crystal
In 0.5000 0.5000 0.0000
In 0.0000 0.5000 0.5000
Tm 0.0000 0.0000 0.3336
Tm 0.0000 0.0000 0.6664
In 0.5000 0.5000 0.6666
In 0.0000 0.5000 0.1676
In 0.0000 0.5000 0.8324
In 0.5000 0.0000 0.8324
In 0.5000 0.5000 0.3334
In 0.5000 0.0000 0.5000
Ho 0.0000 0.0000 0.0000
In 0.5000 0.0000 0.1676



! PBE Cs3KRbHg, relaxed; values from VASP
! Density of states at the Fermi level = 11.1 states/eV per cell
! Calculated formation energy = -0.08 eV per atom
! Symmetry = No. 11
&SYSTEM
  ibrav = 0, nat = 12, ntyp = 4
/
ATOMIC_SPECIES
Cs 132.91 Cs.upf
Hg 200.59 Hg.upf
Rb 85.47 Rb.upf
K 39.10 K.upf
CELL_PARAMETERS angstrom
-3.8805 -2.7439 2.3024
3.7083 -9.8245 -5.4584
7.5487 1.2441 14.2053
ATOMIC_POSITIONS crystal
Cs 0.2500 0.6362 0.4273
Cs 0.7500 0.8579 0.0663
Hg 0.2500 0.7694 0.2201
Cs 0.7500 0.4981 0.1447
Rb 0.2500 0.1871 0.2747
Hg 0.7500 0.2306 0.7799
K 0.2500 0.0674 0.6275
Cs 0.2500 0.1421 0.9337
Cs 0.7500 0.3638 0.5727
K 0.7500 0.9326 0.3725
Cs 0.2500 0.5019 0.8553
Rb 0.7500 0.8129 0.7253



! PBE Rb2Cu2GeBr6, relaxed; values from VASP
! Formation energy (no corrections) = -0.876 eV/atom
! Symmetry = No. 12
&SYSTEM
  ibrav = 0, nat = 11, ntyp = 4
/
ATOMIC_SPECIES
Br 79.90 Br.upf
Cu 63.55 Cu.upf
Ge 72.64 Ge.upf
Rb 85.47 Rb.upf
CELL_PARAMETERS angstrom
-7.1211 2.9215 1.3379
1.9967 -2.3004 -7.1593
-1.3622 -5.7599 5.3276
ATOMIC_POSITIONS crystal
Br 0.2571 0.5142 0.3381
Br 0.2121 0.9135 0.2063
Cu 0.0506 0.1011 0.1972
Br 0.7013 0.9135 0.2063
Br 0.7879 0.0865 0.7937
Ge 0.5000 0.0000 0.5000
Br 0.2987 0.0865 0.7937
Br 0.7429 0.4858 0.6619
Rb 0.7323 0.4647 0.2145
Rb 0.2677 0.5353 0.7855
Cu 0.9494 0.8989 0.8028



! PBE K3BaBe, relaxed; values from VASP
! Density of states at the Fermi level = 5.5 states/eV per cell
! Calculated formation energy = 0.59 eV per atom
! Symmetry = No. 221
&SYSTEM
  ibrav = 0, nat = 5, ntyp = 3
/
ATOMIC_SPECIES
Be 9.01 Be.upf
K 39.10 K.upf
Ba 137.33 Ba.upf
CELL_PARAMETERS angstrom
-5.6535 3.2066 -1.3452
-0.0779 -2.6838 -6.0700
-3.4764 -5.1545 2.3237
ATOMIC_POSITIONS crystal
Be 0.0000 0.0000 0.0000
K 0.5000 0.0000 0.0000
K 0.0000 0.5000 0.0000
Ba 0.5000 0.5000 0.5000
K 0.0000 0.0000 0.5000



! PBE CsZn2BiCl8, relaxed; values from VASP
! Formation energy (no corrections) = -1.243 eV/atom
! Density of states at the Fermi level = 0.0 states/eV per cell
! Symmetry = No. 148
&SYSTEM
  ibrav = 0, nat = 12, ntyp = 4
/
ATOMIC_SPECIES
Cl 35.45 Cl.upf
Zn 65.41 Zn.upf
Bi 208.98 Bi.upf
Cs 132.91 Cs.upf
CELL_PARAMETERS angstrom
6.5561 0.0000 0.0000
3.2781 5.6778 0.0000
3.2781 1.8926 10.3789
ATOMIC_POSITIONS crystal
Cl 0.0559 0.3888 0.8438
Zn 0.2557 0.2557 0.2328
Bi 0.0000 0.0000 0.0000
Cl 0.8154 0.8154 0.5539
Cs 0.5000 0.5000 0.5000
Zn 0.7443 0.7443 0.7672
Cl 0.9441 0.6112 0.1562
Cl 0.1846 0.1846 0.4461
Cl 0.3888 0.7115 0.8438
Cl 0.6112 0.2885 0.1562
Cl 0.7115 0.0559 0.8438
Cl 0.2885 0.9441 0.1562



! PBE Cs2K4I, relaxed; values from VASP
! Formation energy (no corrections) = -0.316 eV/atom
! Density of states at the Fermi level = 5.7 states/eV per cell
! Symmetry = No. 139
&SYSTEM
  ibrav = 0, nat = 7, ntyp = 3
/
ATOMIC_SPECIES
K 39.10 K.upf
Cs 132.91 Cs.upf
I 126.90 I.upf
CELL_PARAMETERS angstrom
6.9113 0.0000 0.0000
0.0000 6.9113 0.0000
3.4557 3.4557 12.8909
ATOMIC_POSITIONS crystal
K 0.1382 0.1382 0.7236
Cs 0.3240 0.3240 0.3519
K 0.8618 0.8618 0.2764
Cs 0.6760 0.6760 0.6481
I 0.0000 0.0000 0.0000
K 0.5000 0.0000 0.0000
K 0.0000 0.5000 0.0000



! PBE YAgS2, relaxed; values from VASP
! Formation energy (no corrections) = -1.326 eV/atom
! Density of states at the Fermi level = 0.0 states/eV per cell
! Symmetry = No. 10
&SYSTEM
  ibrav = 0, nat = 8, ntyp = 3
/
ATOMIC_SPECIES
Ag 107.87 Ag.upf
S 32.06 S.upf
Y 88.91 Y.upf
CELL_PARAMETERS angstrom
6.9962 -0.0190 -0.0001
0.1468 6.6870 0.0002
0.0001 -0.0018 4.0516
ATOMIC_POSITIONS crystal
Ag 0.2983 0.7885 0.8105
S 0.6625 0.5936 0.8101
Ag 0.7014 0.9651 0.8097
Y 0.4999 0.3768 0.3100
S 0.1603 0.5988 0.3102
S 0.8394 0.1548 0.3099
S 0.3373 0.1599 0.8098
Y 0.9999 0.3767 0.8101



! PBE Ca3Cu2P3, relaxed; values from VASP
! Density of states at the Fermi level = 8.2 states/eV per cell
! Calculated formation energy = -0.76 eV per atom
! Symmetry = No. 63
&SYSTEM
  ibrav = 0, nat = 16, ntyp = 3
/
ATOMIC_SPECIES
P 30.97 P.upf
Cu 63.55 Cu.upf
Ca 40.08 Ca.upf
CELL_PARAMETERS angstrom
4.0972 0.0000 0.0000
-2.0486 5.3265 0.0000
0.0000 0.0000 14.3367
ATOMIC_POSITIONS crystal
P 0.5794 0.1589 0.0530
Cu 0.8632 0.7265 0.6152
Ca 0.1495 0.2991 0.6003
P 0.4206 0.8411 0.9470
Cu 0.8632 0.7265 0.8848
Cu 0.1368 0.2735 0.3848
Ca 0.8504 0.7009 0.3997
Cu 0.1368 0.2735 0.1152
Ca 0.8504 0.7009 0.1003
P 0.7311 0.4623 0.7500
Ca 0.4405 0.8809 0.7500
Ca 0.5595 0.1191 0.2500
P 0.2689 0.5377 0.2500
P 0.4206 0.8411 0.5530
Ca 0.1495 0.2991 0.8997
P 0.5794 0.1589 0.4470



! PBE LaTb12Pr3, relaxed; values from VASP
! Density of states at the Fermi level = 23.3 states/eV per cell
! Calculated formation energy = 0.02 eV per atom
! Symmetry = No. 123
&SYSTEM
  ibrav = 0, nat = 16, ntyp = 3
/
ATOMIC_SPECIES
Tb 158.93 Tb.upf
La 138.91 La.upf
Pr 140.91 Pr.upf
CELL_PARAMETERS angstrom
-4.0195 -1.3203 -2.8408
-1.8356 -2.7521 3.8763
-10.1505 16.3175 6.7781
ATOMIC_POSITIONS crystal
Tb 0.5000 0.5000 0.2506
Tb 0.0000 0.5000 0.3751
Tb 0.5000 0.5000 0.5000
Tb 0.0000 0.5000 0.6249
La 0.0000 0.0000 0.0000
Tb 0.5000 0.5000 0.7494
Tb 0.5000 0.0000 0.6249
Tb 0.0000 0.5000 0.8742
Pr 0.0000 0.0000 0.5000
Tb 0.5000 0.0000 0.8742
Tb 0.0000 0.5000 0.1258
Tb 0.5000 0.0000 0.3751
Tb 0.5000 0.5000 0.0000
Pr 0.0000 0.0000 0.7503
Pr 0.0000 0.0000 0.2497
Tb 0.5000 0.0000 0.1258



! PBE Ce3PuAs4, relaxed; values from VASP
! Density of states at the Fermi level = 23.2 states/eV per cell
! Calculated formation energy = -1.33 eV per atom
! Symmetry = No. 65
&SYSTEM
  ibrav = 0, nat = 8, ntyp = 3
/
ATOMIC_SPECIES
As 74.92 As.upf
Ce 140.12 Ce.upf
Pu 244.00 Pu.upf
CELL_PARAMETERS angstrom
4.2020 0.0000 0.0000
0.0000 7.2709 -0.0726
0.0000 -2.3612 6.8772
ATOMIC_POSITIONS crystal
As 0.0000 0.7527 0.7527
As 0.5000 0.7510 0.2490
As 0.5000 0.2490 0.7510
Ce 0.0000 0.5000 0.0000
Pu 0.5000 0.0000 0.0000
As 0.0000 0.2473 0.2473
Ce 0.5000 0.5000 0.5000
Ce 0.0000 0.0000 0.5000



! PBE SrRu, relaxed; values from VASP
! Density of states at the Fermi level = 8.7 states/eV per cell
! Calculated formation energy = 0.92 eV per atom
! Symmetry = No. 136
&SYSTEM
  ibrav = 0, nat = 8, ntyp = 2
/
ATOMIC_SPECIES
Ru 101.07 Ru.upf
Sr 87.62 Sr.upf
CELL_PARAMETERS angstrom
6.3430 0.0000 0.0000
0.0000 6.3430 0.0000
0.0000 0.0000 6.1123
ATOMIC_POSITIONS crystal
Ru 0.1320 0.8680 0.5000
Ru 0.3680 0.3680 0.0000
Sr 0.3087 0.3087 0.5000
Ru 0.6320 0.6320 0.0000
Sr 0.6913 0.6913 0.5000
Sr 0.1913 0.8087 0.0000
Ru 0.8680 0.1320 0.5000
Sr 0.8087 0.1913 0.0000



! PBE Sm4Dy9In11, relaxed; values from VASP
! Density of states at the Fermi level = 19.6 states/eV per cell
! Calculated formation energy = -0.40 eV per atom
! Symmetry = No. 65
&SYSTEM
  ibrav = 0, nat = 24, ntyp = 3
/
ATOMIC_SPECIES
Dy 162.50 Dy.upf
In 114.82 In.upf
Sm 150.36 Sm.upf
CELL_PARAMETERS angstrom
3.4996 0.0000 0.0000
0.0000 13.1369 -5.3598
0.0000 0.2340 14.1863
ATOMIC_POSITIONS crystal
Dy 0.5000 0.6114 0.1658
In 0.0000 0.2002 0.2002
In 0.0000 0.0401 0.4091
In 0.0000 0.0000 0.0000
Dy 0.5000 0.9902 0.7969
In 0.0000 0.6211 0.3789
Sm 0.5000 0.5930 0.7561
In 0.0000 0.3789 0.6211
Sm 0.5000 0.4070 0.2439
In 0.0000 0.7998 0.7998
In 0.0000 0.9599 0.5909
Sm 0.5000 0.7561 0.5930
In 0.0000 0.4091 0.0401
In 0.0000 0.8111 0.1889
Dy 0.5000 0.5000 0.5000
Dy 0.5000 0.2031 0.0098
Dy 0.5000 0.8342 0.3886
In 0.0000 0.5909 0.9599
Dy 0.5000 0.1658 0.6114
Dy 0.5000 0.3886 0.8342
Dy 0.5000 0.0098 0.2031
In 0.0000 0.1889 0.8111
Dy 0.5000 0.7969 0.9902
Sm 0.5000 0.2439 0.4070



! PBE La2AlFeSb, relaxed; values from VASP
! Formation energy (no corrections) = -0.526 eV/atom
! Density of states at the Fermi level = 2.7 states/eV per cell
! Symmetry = No. 123
&SYSTEM
  ibrav = 0, nat = 5, ntyp = 4
/
ATOMIC_SPECIES
Al 26.98 Al.upf
Fe 55.84 Fe.upf
La 138.91 La.upf
Sb 121.76 Sb.upf
CELL_PARAMETERS angstrom
-0.8605 -3.1024 4.0626
0.3348 -4.1452 -3.0945
4.6518 -0.2292 0.8103
ATOMIC_POSITIONS crystal
Al 0.0000 0.0000 0.5000
Fe 0.0000 0.0000 0.0000
La 0.5000 0.0000 0.0000
Sb 0.5000 0.5000 0.5000
La 0.0000 0.5000 0.0000



! PBE Na2Se5, relaxed; values from VASP
! Formation energy (no corrections) = -0.476 eV/atom
! Density of states at the Fermi level = 0.0 states/eV per cell
! Symmetry = No. 12
&SYSTEM
  ibrav = 0, nat = 7, ntyp = 2
/
ATOMIC_SPECIES
Se 78.96 Se.upf
Na 22.99 Na.upf
CELL_PARAMETERS angstrom
-1.7967 -1.6186 -4.6450
-1.5673 -5.9856 0.4836
-6.1791 0.5794 -0.0201
ATOMIC_POSITIONS crystal
Se 0.7454 0.1537 0.6693
Se 0.2546 0.3307 0.8463
Se 0.2546 0.8463 0.3307
Na 0.3611 0.3100 0.3100
Se 0.0000 0.0000 0.0000
Se 0.7454 0.6693 0.1537
Na 0.6389 0.6900 0.6900